Material: NiTeO4
Method: DFT, GGA+U
State: relaxed

Unit cell a=5.1365 b=3.0929 c=5.3627 alpha=90.00 beta=109.55 gamma=90.00
With the nearest neighbours (Å) after each atom.
Positions (direct):
Ni (0.0000, 0.0000, 0.0000)  6 O 2.07-2.19
Te (0.0000, 0.5000, 0.5000)  6 O 1.90-2.04
O (0.1892, 0.5000, 0.2504)  1 Te 1.90, 2 Ni 2.07
O (0.2230, 0.0000, 0.7152)  2 Te 2.04, 1 Ni 2.19
O (0.7770, 0.0000, 0.2848)  2 Te 2.04, 1 Ni 2.19
O (0.8108, 0.5000, 0.7496)  1 Te 1.90, 2 Ni 2.07

Values from the calculation:
crystal system: monoclinic
offset from the most stable computed form: 96 meV per atom
spin magnetization: 2.0 Bohr magnetons per cell


Material: NiTe2O
Method: DFT, GGA+U
State: relaxed

Unit cell a=5.2162 b=5.2162 c=12.1957 alpha=90.00 beta=90.00 gamma=90.00
With the nearest neighbours (Å) after each atom.
Positions (direct):
Ni (0.0000, 0.0000, 0.0000)  4 Te 2.42
Ni (0.0000, 0.5000, 0.2500)  4 Te 2.42
Ni (0.5000, 0.0000, 0.7500)  4 Te 2.42
Ni (0.5000, 0.5000, 0.5000)  4 Te 2.42
Te (0.2402, 0.2500, 0.6250)  2 O 2.37, 2 Ni 2.42
Te (0.2500, 0.7402, 0.8750)  2 O 2.37, 2 Ni 2.42
Te (0.2500, 0.7598, 0.3750)  2 O 2.37, 2 Ni 2.42
Te (0.2598, 0.2500, 0.1250)  2 O 2.37, 2 Ni 2.42
Te (0.7402, 0.7500, 0.1250)  2 O 2.37, 2 Ni 2.42
Te (0.7500, 0.2402, 0.3750)  2 O 2.37, 2 Ni 2.42
Te (0.7500, 0.2598, 0.8750)  2 O 2.37, 2 Ni 2.42
Te (0.7598, 0.7500, 0.6250)  2 O 2.37, 2 Ni 2.42
O (0.0000, 0.0000, 0.5000)  4 Te 2.37
O (0.0000, 0.5000, 0.7500)  4 Te 2.37
O (0.5000, 0.0000, 0.2500)  4 Te 2.37
O (0.5000, 0.5000, 0.0000)  4 Te 2.37

Values from the calculation:
crystal system: tetragonal
spin magnetization: 0.0 Bohr magnetons per cell
DOS(E_F): 0.55 states/eV/atom
electronic total energy: -0.1169 Ha/atom


Material: Ni5Te2O12
Method: DFT, GGA+U
State: relaxed

Unit cell a=5.2040 b=5.2040 c=9.9286 alpha=96.49 beta=96.49 gamma=121.50
With the nearest neighbours (Å) after each atom.
Positions (direct):
Ni (0.0000, 0.0000, 0.0000)  6 O 1.91-2.00
Ni (0.4345, 0.0365, 0.2416)  6 O 2.07-2.19
Ni (0.5280, 0.4720, 0.5000)  6 O 2.02-2.16
Ni (0.8669, 0.1331, 0.5000)  6 O 2.05-2.13
Ni (0.9635, 0.5655, 0.7584)  6 O 2.07-2.19
Te (0.1971, 0.8029, 0.5000)  6 O 1.94-1.98
Te (0.6723, 0.3277, 0.0000)  6 O 1.93-1.97
O (0.0140, 0.7293, 0.1106)  2 Ni 1.91-2.07, 1 Te 1.97
O (0.1615, 0.0690, 0.3873)  1 Te 1.94, 2 Ni 2.02-2.13
O (0.2347, 0.5405, 0.6157)  1 Te 1.95, 3 Ni 2.05-2.16
O (0.2707, 0.9860, 0.8894)  2 Ni 1.91-2.07, 1 Te 1.97
O (0.3891, 0.3193, 0.1186)  2 Ni 1.94-2.10, 1 Te 1.97
O (0.4595, 0.7653, 0.3843)  1 Te 1.95, 3 Ni 2.05-2.16
O (0.5760, 0.1807, 0.6102)  1 Te 1.98, 3 Ni 2.06-2.16
O (0.6807, 0.6109, 0.8814)  2 Ni 1.94-2.10, 1 Te 1.97
O (0.7398, 0.0781, 0.1108)  1 Te 1.93, 2 Ni 2.00-2.10
O (0.8193, 0.4240, 0.3898)  1 Te 1.98, 3 Ni 2.06-2.16
O (0.9219, 0.2602, 0.8892)  1 Te 1.93, 2 Ni 2.00-2.10
O (0.9310, 0.8385, 0.6127)  1 Te 1.94, 2 Ni 2.02-2.13

Values from the calculation:
crystal system: monoclinic
spin magnetization: 8.0 Bohr magnetons per cell
DOS(E_F): 0.12 states/eV/atom
electronic total energy: -0.1851 Ha/atom


Material: NiTeO3
Method: DFT, GGA+U
State: relaxed

Unit cell a=3.7835 b=3.7835 c=3.7835 alpha=90.00 beta=90.00 gamma=90.00
With the nearest neighbours (Å) after each atom.
Positions (direct):
Ni (0.0000, 0.0000, 0.0000)  6 O 1.89
Te (0.5000, 0.5000, 0.5000)  12 O 2.68
O (0.0000, 0.0000, 0.5000)  2 Ni 1.89
O (0.0000, 0.5000, 0.0000)  2 Ni 1.89
O (0.5000, 0.0000, 0.0000)  2 Ni 1.89

Values from the calculation:
crystal system: cubic
spin magnetization: 1.4 Bohr magnetons per cell
DOS(E_F): 0.40 states/eV/atom
electronic total energy: -0.1629 Ha/atom


Material: NiTeO4
Method: DFT, GGA+U
State: relaxed

Unit cell a=6.1297 b=6.1297 c=6.1297 alpha=120.34 beta=119.91 gamma=89.78
With the nearest neighbours (Å) after each atom.
Positions (direct):
Ni (0.5000, 0.0000, 0.0000)  6 O 2.09-2.16
Ni (0.5000, 0.5000, 0.5000)  6 O 2.09-2.16
Te (0.0000, 0.0000, 0.0000)  6 O 1.90-2.04
Te (0.5000, 0.0000, 0.5000)  6 O 1.90-2.04
O (0.2408, 0.2182, 0.0226)  1 Te 1.90, 2 Ni 2.09
O (0.2521, 0.2222, 0.4701)  2 Te 2.04, 1 Ni 2.16
O (0.2521, 0.7819, 0.0299)  2 Te 2.04, 1 Ni 2.16
O (0.3044, 0.7818, 0.5226)  1 Te 1.90, 2 Ni 2.09
O (0.6956, 0.2182, 0.4774)  1 Te 1.90, 2 Ni 2.09
O (0.7479, 0.2181, 0.9701)  2 Te 2.04, 1 Ni 2.16
O (0.7479, 0.7778, 0.5299)  2 Te 2.04, 1 Ni 2.16
O (0.7592, 0.7818, 0.9774)  1 Te 1.90, 2 Ni 2.09

Values from the calculation:
crystal system: orthorhombic
offset from the most stable computed form: 118 meV per atom
spin magnetization: 4.0 Bohr magnetons per cell


Material: NiTe6O13
Method: DFT, GGA+U
State: relaxed

Unit cell a=8.7504 b=8.7504 c=8.7504 alpha=72.07 beta=72.07 gamma=72.07
With the nearest neighbours (Å) after each atom.
Positions (direct):
Ni (0.2440, 0.2440, 0.2440)  6 O 2.08-2.18
Ni (0.7560, 0.7560, 0.7560)  6 O 2.08-2.18
Te (0.0301, 0.3248, 0.9217)  3 O 1.90-2.05
Te (0.0783, 0.9699, 0.6752)  3 O 1.90-2.05
Te (0.1666, 0.5600, 0.4885)  2 O 1.89-1.98
Te (0.3248, 0.9217, 0.0301)  3 O 1.90-2.05
Te (0.4400, 0.5115, 0.8334)  2 O 1.89-1.98
Te (0.4885, 0.1666, 0.5600)  2 O 1.89-1.98
Te (0.5115, 0.8334, 0.4400)  2 O 1.89-1.98
Te (0.5600, 0.4885, 0.1666)  2 O 1.89-1.98
Te (0.6752, 0.0783, 0.9699)  3 O 1.90-2.05
Te (0.8334, 0.4400, 0.5115)  2 O 1.89-1.98
Te (0.9217, 0.0301, 0.3248)  3 O 1.90-2.05
Te (0.9699, 0.6752, 0.0783)  3 O 1.90-2.05
O (0.0486, 0.1345, 0.3836)  1 Te 1.90, 1 Ni 2.08
O (0.1020, 0.4022, 0.4145)  2 Te 1.98-2.20, 1 Ni 2.18
O (0.1145, 0.7984, 0.8747)  2 Te 1.96-2.05
O (0.1253, 0.8855, 0.2016)  2 Te 1.96-2.05
O (0.1345, 0.3836, 0.0486)  1 Te 1.90, 1 Ni 2.08
O (0.2002, 0.4431, 0.7009)  1 Te 1.89
O (0.2016, 0.1253, 0.8855)  2 Te 1.96-2.05
O (0.2991, 0.7998, 0.5569)  1 Te 1.89
O (0.3836, 0.0486, 0.1345)  1 Te 1.90, 1 Ni 2.08
O (0.4022, 0.4145, 0.1020)  2 Te 1.98-2.20, 1 Ni 2.18
O (0.4125, 0.4125, 0.4125)  3 Te 2.16
O (0.4145, 0.1020, 0.4022)  2 Te 1.98-2.20, 1 Ni 2.18
O (0.4430, 0.7009, 0.2002)  1 Te 1.89
O (0.5569, 0.2991, 0.7998)  1 Te 1.89
O (0.5855, 0.8980, 0.5978)  2 Te 1.98-2.20, 1 Ni 2.18
O (0.5875, 0.5875, 0.5875)  3 Te 2.16
O (0.5978, 0.5855, 0.8980)  2 Te 1.98-2.20, 1 Ni 2.18
O (0.6164, 0.9514, 0.8655)  1 Te 1.90, 1 Ni 2.08
O (0.7009, 0.2002, 0.4430)  1 Te 1.89
O (0.7984, 0.8747, 0.1145)  2 Te 1.96-2.05
O (0.7998, 0.5569, 0.2991)  1 Te 1.89
O (0.8655, 0.6164, 0.9514)  1 Te 1.90, 1 Ni 2.08
O (0.8747, 0.1145, 0.7984)  2 Te 1.96-2.05
O (0.8855, 0.2016, 0.1253)  2 Te 1.96-2.05
O (0.8980, 0.5978, 0.5855)  2 Te 1.98-2.20, 1 Ni 2.18
O (0.9514, 0.8655, 0.6164)  1 Te 1.90, 1 Ni 2.08

Values from the calculation:
crystal system: trigonal
spin magnetization: 4.0 Bohr magnetons per cell
DOS(E_F): 0.00 states/eV/atom
electronic total energy: -0.1957 Ha/atom


Material: Ni2TeO4
Method: DFT, GGA+U
State: relaxed

Unit cell a=11.3687 b=3.2574 c=5.1127 alpha=90.00 beta=114.84 gamma=90.00
With the nearest neighbours (Å) after each atom.
Positions (direct):
Ni (0.2118, 0.0000, 0.1911)  4 O 2.00-2.08
Ni (0.2882, 0.5000, 0.8089)  4 O 2.00-2.08
Ni (0.7118, 0.5000, 0.1911)  4 O 2.00-2.08
Ni (0.7882, 0.0000, 0.8089)  4 O 2.00-2.08
Te (0.0000, 0.5000, 0.5000)  6 O 2.16-2.25
Te (0.5000, 0.0000, 0.5000)  6 O 2.16-2.25
O (0.1312, 0.0000, 0.4724)  1 Ni 2.00
O (0.1398, 0.5000, 0.9441)  3 Ni 2.01-2.08, 1 Te 2.16
O (0.3602, 0.0000, 0.0559)  3 Ni 2.01-2.08, 1 Te 2.16
O (0.3688, 0.5000, 0.5276)  1 Ni 2.00
O (0.6312, 0.5000, 0.4724)  1 Ni 2.00
O (0.6398, 0.0000, 0.9441)  3 Ni 2.01-2.08, 1 Te 2.16
O (0.8602, 0.5000, 0.0559)  3 Ni 2.01-2.08, 1 Te 2.16
O (0.8688, 0.0000, 0.5276)  1 Ni 2.00

Values from the calculation:
crystal system: monoclinic
spin magnetization: 8.0 Bohr magnetons per cell
electronic total energy: -0.1793 Ha/atom


Material: Ni3TeO6
Method: DFT, GGA+U
State: relaxed

Unit cell a=5.5174 b=5.5174 c=5.5174 alpha=55.84 beta=55.84 gamma=55.84
With the nearest neighbours (Å) after each atom.
Positions (direct):
Ni (0.0000, 0.0000, 0.0000)  6 O 2.04-2.19
Ni (0.2041, 0.2041, 0.2041)  6 O 2.04-2.12
Ni (0.7104, 0.7104, 0.7104)  6 O 2.06-2.15
Te (0.5092, 0.5092, 0.5092)  6 O 1.95-1.98
O (0.1296, 0.7804, 0.4078)  1 Te 1.95, 2 Ni 2.06-2.12
O (0.3048, 0.6042, 0.8934)  1 Te 1.98, 3 Ni 2.04-2.15
O (0.4078, 0.1296, 0.7804)  1 Te 1.95, 2 Ni 2.06-2.12
O (0.6042, 0.8934, 0.3048)  1 Te 1.98, 3 Ni 2.04-2.15
O (0.7804, 0.4078, 0.1296)  1 Te 1.95, 2 Ni 2.06-2.12
O (0.8934, 0.3048, 0.6042)  1 Te 1.98, 3 Ni 2.04-2.15

Values from the calculation:
crystal system: trigonal
offset from the most stable computed form: 0 meV per atom
spin magnetization: 6.0 Bohr magnetons per cell